No. 1
Here is an optimized crystal structure of K2AlRh from Alexandria. Energies are from GGA-PBEsol.

It has space group P4/mmm (No. 123), with a = 4.449 Å, b = 4.449 Å, c = 5.279 Å, α = 90.00°, β = 90.00° and γ = 90.00°. The inequivalent atoms are K at (0.000, 0.000, 0.245), Al at (0.500, 0.500, 0.500) and Rh at (0.500, 0.500, 0.000).

The value obtained for the volume is 26.125 Å³/atom. The formation energy is 0.69 eV per atom.

=====

No. 2
Here is an optimized crystal structure of BeRe2Ru from Alexandria. Energies are from GGA-PBEsol.

It has space group Pmmm (No. 47), with a = 2.967 Å, b = 4.157 Å, c = 4.268 Å, α = 90.00°, β = 90.00° and γ = 90.00°. The inequivalent atoms are Be at (0.000, 0.000, 0.000), Re at (0.000, 0.500, 0.500), Re at (0.500, 0.000, 0.500) and Ru at (0.500, 0.500, 0.000).

The value obtained for the volume is 13.158 Å³/atom. The formation energy is 0.17 eV per atom. For the energy above the most stable polymorph in this dataset, the calculation gives 171 meV per atom.

=====

No. 3
Here is an optimized crystal structure of CaPbW2 from Alexandria. Energies are from GGA-PBEsol.

It has space group R3m (No. 160, hexagonal axes), with a = 3.2501 Å, b = 3.2501 Å, c = 28.6811 Å, α = 90.00°, β = 90.00° and γ = 120.00°. The inequivalent atoms are Ca at (0.0000, 0.0000, 0.0000), Pb at (0.0000, 0.0000, 0.7657), W at (0.0000, 0.0000, 0.2432) and W at (0.0000, 0.0000, 0.5172).

The value obtained for the volume is 21.864 Å³/atom. The formation energy is 0.58 eV per atom.

=====

No. 4
Here is an optimized crystal structure of AgTe2SN from Alexandria. Energies are from GGA-PBEsol.

It has space group P4/mmm (No. 123), with a = 5.423 Å, b = 5.423 Å, c = 3.807 Å, α = 90.00°, β = 90.00° and γ = 90.00°. The inequivalent atoms are Ag at (0.000, 0.000, 0.000), Te at (0.000, 0.500, 0.000), S at (0.500, 0.500, 0.500) and N at (0.000, 0.000, 0.500).

The value obtained for the volume is 22.388 Å³/atom. The calculation puts the uncorrected formation energy at 1.22 eV per atom.

=====

No. 5
Here is an optimized crystal structure of Dy5Si10Ir4 from Alexandria. Energies are from GGA-PBEsol.

It has space group P4/mbm (No. 127), with a = 12.515 Å, b = 12.515 Å, c = 4.223 Å, α = 90.00°, β = 90.00° and γ = 90.00°. The inequivalent atoms are Dy at (0.000, 0.000, 0.000), Dy at (0.115, 0.385, 0.500), Dy at (0.175, 0.675, 0.500), Si at (0.000, 0.158, 0.500), Si at (0.066, 0.566, 0.000), Si at (0.164, 0.200, 0.000) and Ir at (0.020, 0.755, 0.000).

The value obtained for the volume is 17.407 Å³/atom. The calculation puts the uncorrected formation energy at -0.96 eV per atom.

=====

No. 6
Here is an optimized crystal structure of Be3Co from Alexandria. Energies are from GGA-PBEsol.

It has space group Pm-3m (No. 221), with a = 3.194 Å, b = 3.194 Å, c = 3.194 Å, α = 90.00°, β = 90.00° and γ = 90.00°. The inequivalent atoms are Be at (0.000, 0.000, 0.500) and Co at (0.500, 0.500, 0.500).

The value obtained for the volume is 8.142 Å³/atom. The formation energy is -0.24 eV per atom.

=====

No. 7
Here is an optimized crystal structure of MnPbF3 from Alexandria. Energies are from GGA-PBEsol.

It has space group Pm-3m (No. 221), with a = 4.224 Å, b = 4.224 Å, c = 4.224 Å, α = 90.00°, β = 90.00° and γ = 90.00°. The inequivalent atoms are Mn at (0.000, 0.000, 0.000), Pb at (0.500, 0.500, 0.500) and F at (0.000, 0.000, 0.500).

The value obtained for the volume is 15.071 Å³/atom. The calculation puts the uncorrected formation energy at -1.76 eV per atom.

=====

No. 8
Here is an optimized crystal structure of Ca2TaRe from Alexandria. Energies are from GGA-PBEsol.

It has space group Cm (No. 8), with a = 8.458 Å, b = 3.151 Å, c = 7.536 Å, α = 90.00°, β = 94.37° and γ = 90.00°. The inequivalent atoms are Ca at (0.000, 0.000, 0.000), Ca at (0.222, 0.000, 0.623), Ta at (0.256, 0.500, 0.257) and Re at (0.481, 0.000, 0.378).

The value obtained for the volume is 25.036 Å³/atom. The formation energy is 0.54 eV per atom. For the energy above the most stable polymorph in this dataset, the calculation gives 0 meV per atom.

=====

No. 9
Here is an optimized crystal structure of NbSb2TeN from Alexandria. Energies are from GGA-PBEsol.

It has space group P4/mmm (No. 123), with a = 4.644 Å, b = 4.644 Å, c = 4.526 Å, α = 90.00°, β = 90.00° and γ = 90.00°. The inequivalent atoms are Nb at (0.000, 0.000, 0.000), Sb at (0.000, 0.500, 0.500), Te at (0.500, 0.500, 0.000) and N at (0.500, 0.500, 0.500).

The value obtained for the volume is 19.526 Å³/atom. The calculation puts the uncorrected formation energy at 0.60 eV per atom. For the energy above the most stable polymorph in this dataset, the calculation gives 0 meV per atom.

=====

No. 10
Here is an optimized crystal structure of InRu3S from Alexandria. Energies are from GGA-PBEsol.

It has space group Pm-3m (No. 221), with a = 4.296 Å, b = 4.296 Å, c = 4.296 Å, α = 90.00°, β = 90.00° and γ = 90.00°. The inequivalent atoms are In at (0.000, 0.000, 0.000), Ru at (0.000, 0.500, 0.500) and S at (0.500, 0.500, 0.500).

The value obtained for the volume is 15.853 Å³/atom. The calculation puts the uncorrected formation energy at 0.26 eV per atom.

=====

No. 11
Here is an optimized crystal structure of Nb4Tl4O13 from Alexandria. Energies are from GGA-PBEsol.

It has space group F-43m (No. 216), with a = 10.660 Å, b = 10.660 Å, c = 10.660 Å, α = 90.00°, β = 90.00° and γ = 90.00°. The inequivalent atoms are Nb at (0.125, 0.125, 0.125), Tl at (0.123, 0.123, 0.623), O at (0.000, 0.000, 0.187), O at (0.062, 0.250, 0.250) and O at (0.250, 0.250, 0.750).

The value obtained for the volume is 14.420 Å³/atom. The calculation puts the uncorrected formation energy at -1.92 eV per atom.

=====

No. 12
Here is an optimized crystal structure of BePt3 from Alexandria. Energies are from GGA-PBEsol.

It has space group I4/mmm (No. 139), with a = 3.828 Å, b = 3.828 Å, c = 14.933 Å, α = 90.00°, β = 90.00° and γ = 90.00°. The inequivalent atoms are Be at (0.000, 0.000, 0.117), Pt at (0.000, 0.000, 0.375), Pt at (0.000, 0.500, 0.000) and Pt at (0.000, 0.500, 0.250).

The value obtained for the volume is 13.679 Å³/atom. The formation energy is -0.27 eV per atom.

=====

No. 13
Here is an optimized crystal structure of ZnCrAu2 from Alexandria. Energies are from GGA-PBEsol.

It has space group P4/mmm (No. 123), with a = 3.147 Å, b = 3.147 Å, c = 6.273 Å, α = 90.00°, β = 90.00° and γ = 90.00°. The inequivalent atoms are Zn at (0.000, 0.000, 0.000), Cr at (0.000, 0.000, 0.500) and Au at (0.500, 0.500, 0.245).

The value obtained for the volume is 15.535 Å³/atom. The formation energy is 0.03 eV per atom.

=====

No. 14
Here is an optimized crystal structure of LaIO3 from Alexandria. Energies are from GGA-PBEsol.

It has space group C2/m (No. 12), with a = 20.398 Å, b = 4.114 Å, c = 4.234 Å, α = 90.00°, β = 91.07° and γ = 90.00°. The inequivalent atoms are La at (0.192, 0.000, 0.244), I at (0.083, 0.500, 0.746), O at (0.103, 0.000, 0.762), O at (0.106, 0.500, 0.300) and O at (0.248, 0.000, 0.750).

The value obtained for the volume is 17.760 Å³/atom. The calculation puts the uncorrected formation energy at -1.87 eV per atom.

=====

No. 15
Here is an optimized crystal structure of ReAsW2 from Alexandria. Energies are from GGA-PBEsol.

It has space group P4/mmm (No. 123), with a = 2.929 Å, b = 2.929 Å, c = 6.997 Å, α = 90.00°, β = 90.00° and γ = 90.00°. The inequivalent atoms are Re at (0.000, 0.000, 0.000), As at (0.000, 0.000, 0.500) and W at (0.500, 0.500, 0.256).

The value obtained for the volume is 15.012 Å³/atom. The formation energy is 0.21 eV per atom.

=====

No. 16
Here is an optimized crystal structure of AlGaN2F from Alexandria. Energies are from GGA-PBEsol.

It has space group P4/mmm (No. 123), with a = 3.858 Å, b = 3.858 Å, c = 3.714 Å, α = 90.00°, β = 90.00° and γ = 90.00°. The inequivalent atoms are Al at (0.000, 0.000, 0.000), Ga at (0.500, 0.500, 0.500), N at (0.000, 0.500, 0.500) and F at (0.500, 0.500, 0.000).

The value obtained for the volume is 11.055 Å³/atom. The calculation puts the uncorrected formation energy at 0.09 eV per atom.

=====

No. 17
Here is an optimized crystal structure of FeCuS2 from Alexandria. Energies are from GGA-PBEsol.

It has space group R3m (No. 160, hexagonal axes), with a = 3.3688 Å, b = 3.3688 Å, c = 17.2406 Å, α = 90.00°, β = 90.00° and γ = 120.00°. The inequivalent atoms are Fe at (0.0000, 0.0000, 0.0000), Cu at (0.0000, 0.0000, 0.8556), S at (0.0000, 0.0000, 0.2629) and S at (0.0000, 0.0000, 0.7305).

The value obtained for the volume is 14.120 Å³/atom. The calculation puts the uncorrected formation energy at -0.34 eV per atom.

=====

No. 18
Here is an optimized crystal structure of ZrCoW3 from Alexandria. Energies are from GGA-PBEsol.

It has space group Pm-3m (No. 221), with a = 4.466 Å, b = 4.466 Å, c = 4.466 Å, α = 90.00°, β = 90.00° and γ = 90.00°. The inequivalent atoms are Zr at (0.000, 0.000, 0.000), Co at (0.500, 0.500, 0.500) and W at (0.000, 0.500, 0.500).

The value obtained for the volume is 17.809 Å³/atom. The formation energy is 1.10 eV per atom.

=====

No. 19
Here is an optimized crystal structure of GaCuSi3 from Alexandria. Energies are from GGA-PBEsol.

It has space group Pm-3m (No. 221), with a = 4.643 Å, b = 4.643 Å, c = 4.643 Å, α = 90.00°, β = 90.00° and γ = 90.00°. The inequivalent atoms are Ga at (0.000, 0.000, 0.000), Cu at (0.500, 0.500, 0.500) and Si at (0.000, 0.000, 0.500).

The value obtained for the volume is 20.018 Å³/atom. The calculation puts the uncorrected formation energy at 1.20 eV per atom.

=====

No. 20
Here is an optimized crystal structure of ScZn3Co from Alexandria. Energies are from GGA-PBEsol.

It has space group Pm-3m (No. 221), with a = 4.966 Å, b = 4.966 Å, c = 4.966 Å, α = 90.00°, β = 90.00° and γ = 90.00°. The inequivalent atoms are Sc at (0.000, 0.000, 0.000), Zn at (0.000, 0.000, 0.500) and Co at (0.500, 0.500, 0.500).

The value obtained for the volume is 24.496 Å³/atom. The formation energy is 1.54 eV per atom.

=====

No. 21
Here is an optimized crystal structure of YZrIn from Alexandria. Energies are from GGA-PBEsol.

It has space group F-43m (No. 216), with a = 6.952 Å, b = 6.952 Å, c = 6.952 Å, α = 90.00°, β = 90.00° and γ = 90.00°. The inequivalent atoms are Y at (0.000, 0.000, 0.000), Zr at (0.000, 0.000, 0.500) and In at (0.250, 0.250, 0.750).

The value obtained for the volume is 27.998 Å³/atom. The formation energy is 0.12 eV per atom.

=====

No. 22
Here is an optimized crystal structure of SrTa2Hg from Alexandria. Energies are from GGA-PBEsol.

It has space group Cmm2 (No. 35), with a = 3.724 Å, b = 4.632 Å, c = 9.912 Å, α = 90.00°, β = 90.00° and γ = 90.00°. The inequivalent atoms are Sr at (0.000, 0.000, 0.000), Ta at (0.000, 0.000, 0.499), Ta at (0.000, 0.500, 0.709) and Hg at (0.000, 0.500, 0.268).

The value obtained for the volume is 21.371 Å³/atom. The formation energy is 0.38 eV per atom.

=====

No. 23
Here is an optimized crystal structure of ScMo from Alexandria. Energies are from GGA-PBEsol.

It has space group Cmme (No. 67), with a = 3.231 Å, b = 4.809 Å, c = 9.454 Å, α = 90.00°, β = 90.00° and γ = 90.00°. The inequivalent atoms are Sc at (0.000, 0.250, 0.154) and Mo at (0.000, 0.250, 0.604).

The value obtained for the volume is 18.363 Å³/atom. The formation energy is 0.16 eV per atom. For the energy above the most stable polymorph in this dataset, the calculation gives 154 meV per atom.

=====

No. 24
Here is an optimized crystal structure of KInN3 from Alexandria. Energies are from GGA-PBEsol.

It has space group Pm-3m (No. 221), with a = 4.408 Å, b = 4.408 Å, c = 4.408 Å, α = 90.00°, β = 90.00° and γ = 90.00°. The inequivalent atoms are K at (0.000, 0.000, 0.000), In at (0.500, 0.500, 0.500) and N at (0.000, 0.500, 0.500).

The value obtained for the volume is 17.136 Å³/atom. The calculation puts the uncorrected formation energy at 1.46 eV per atom.

=====

No. 25
Here is an optimized crystal structure of CaOs2Au from Alexandria. Energies are from GGA-PBEsol.

It has space group Immm (No. 71), with a = 2.884 Å, b = 4.588 Å, c = 10.252 Å, α = 90.00°, β = 90.00° and γ = 90.00°. The inequivalent atoms are Ca at (0.000, 0.000, 0.000), Os at (0.000, 0.500, 0.225) and Au at (0.000, 0.000, 0.500).

The value obtained for the volume is 16.955 Å³/atom. The formation energy is 0.49 eV per atom. For the energy above the most stable polymorph in this dataset, the calculation gives 0 meV per atom.

=====

No. 26
Here is an optimized crystal structure of Ag2Te3 from Alexandria. Energies are from GGA-PBEsol.

It has space group R-3m (No. 166, hexagonal axes), with a = 4.1372 Å, b = 4.1372 Å, c = 24.9817 Å, α = 90.00°, β = 90.00° and γ = 120.00°. The inequivalent atoms are Ag at (0.0000, 0.0000, 0.1017), Te at (0.0000, 0.0000, 0.2916) and Te at (0.0000, 0.0000, 0.5000).

The value obtained for the volume is 24.687 Å³/atom. The calculation puts the uncorrected formation energy at 0.00 eV per atom.